No. 1
Below is a geometry-optimized Pr2RuCl structure, with properties calculated at the PBE level. Values from VASP.

Magnetization   0.00 μB/atom
Raw total energy   -6.007 eV per atom
Symmetry   C2/m
Distance to the lowest polymorph of the same formula   0 meV per atom
Raw formation energy   -19.29 kcal/mol of atoms

Structure (Quantum ESPRESSO input):
```
&SYSTEM
  ibrav = 0, nat = 4, ntyp = 3
/
ATOMIC_SPECIES
Pr 140.91 Pr.upf
Ru 101.07 Ru.upf
Cl 35.45 Cl.upf
CELL_PARAMETERS angstrom
3.555 -2.048 0.000
3.555 2.048 0.000
-2.376 0.000 7.643
ATOMIC_POSITIONS crystal
Pr 0.236 0.236 0.206
Pr 0.764 0.764 0.794
Ru 0.500 0.500 0.000
Cl 0.000 0.000 0.500
```


No. 2
Below is a geometry-optimized Pr2RuCl structure, with properties calculated at the PBE level. Values from VASP.

Magnetization   0.00 μB/atom
Raw total energy   -5.986 eV per atom
Symmetry   R3m
Distance to the lowest polymorph of the same formula   21 meV per atom
Raw formation energy   -18.80 kcal/mol of atoms

Structure (Quantum ESPRESSO input):
```
&SYSTEM
  ibrav = 0, nat = 4, ntyp = 3
/
ATOMIC_SPECIES
Pr 140.91 Pr.upf
Ru 101.07 Ru.upf
Cl 35.45 Cl.upf
CELL_PARAMETERS angstrom
2.029 1.172 7.806
-2.029 1.172 7.806
0.000 -2.343 7.806
ATOMIC_POSITIONS crystal
Pr 0.000 0.000 0.000
Pr 0.197 0.197 0.197
Ru 0.598 0.598 0.598
Cl 0.767 0.767 0.767
```


No. 3
Below is a geometry-optimized Pr4RuS2Cl structure, with properties calculated at the PBE level. Values from VASP.

Magnetization   0.00 μB/atom
Raw total energy   -6.173 eV per atom
Symmetry   P2/m
Raw formation energy   -31.39 kcal/mol of atoms

Structure (Quantum ESPRESSO input):
```
&SYSTEM
  ibrav = 0, nat = 8, ntyp = 4
/
ATOMIC_SPECIES
Pr 140.91 Pr.upf
Ru 101.07 Ru.upf
S 32.06 S.upf
Cl 35.45 Cl.upf
CELL_PARAMETERS angstrom
7.285 0.000 0.000
0.000 4.039 0.000
-2.185 0.000 6.967
ATOMIC_POSITIONS crystal
Pr 0.242 0.000 0.225
Pr 0.253 0.500 0.765
Pr 0.747 0.500 0.235
Pr 0.758 0.000 0.775
Ru 0.500 0.000 0.000
S 0.000 0.000 0.500
S 0.000 0.500 0.000
Cl 0.500 0.500 0.500
```